Ca4Ho3S8: relaxed, PBE.

a b c (Å): 7.926 7.927 7.927
angles (deg): 89.66 120.34 120.34
Element x y z (fractional)
Ca 0.500 0.000 0.000
Ca 0.000 0.500 0.000
Ca 0.000 0.000 0.000
Ca 0.000 0.000 0.500
Ho 0.500 0.500 0.000
Ho 0.500 0.000 0.500
Ho 0.500 0.500 0.500
S 0.503 0.255 0.255
S 0.000 0.750 0.250
S 0.012 0.253 0.253
S 0.500 0.747 0.253
S 0.500 0.253 0.747
S 0.988 0.747 0.747
S 0.000 0.250 0.750
S 0.497 0.745 0.745

Computed properties:
N(E_F)	2.06	states/eV per cell
energy	-85.7	eV per formula unit
density	4.33	g/cm³

=====

SmScZnIr: relaxed, PBE.

a b c (Å): 4.853 4.853 4.853
angles (deg): 60.00 60.00 60.00
Element x y z (fractional)
Sc 0.250 0.250 0.250
Zn 0.000 0.000 0.000
Ir 0.500 0.500 0.500
Sm 0.750 0.750 0.750

Computed properties:
formation energy	-0.57	eV per atom
N(E_F)	2.85	states/eV per cell
density	9.30	g/cm³

=====

Sm2In3Sn: relaxed, PBE.

a b c (Å): 3.566 5.076 8.851
angles (deg): 90.00 90.00 90.00
Element x y z (fractional)
Sm 0.000 0.500 0.003
Sm 0.000 0.000 0.497
In 0.500 0.000 0.832
In 0.500 0.000 0.162
In 0.500 0.500 0.670
Sn 0.500 0.500 0.336

Computed properties:
formation energy	-0.44	eV per atom
N(E_F)	1.57	states/eV per cell
density	7.92	g/cm³

=====

Ce2Ho2Tl3: relaxed, PBE.

a b c (Å): 5.461 8.341 5.346
angles (deg): 71.31 90.00 109.11
Last column: magnetic moment on the atom in μB.
Element x y z (fractional)
Ce 0.623 0.247 0.877  0.94
Ce 0.377 0.753 0.123  0.94
Ho 0.880 0.760 0.620  0.15
Ho 0.120 0.240 0.380  0.15
Tl 0.000 0.000 0.000  -0.01
Tl 0.748 0.495 0.252  0.00
Tl 0.252 0.505 0.748  0.00

Computed properties:
formation energy	-0.11	eV per atom
N(E_F)	18.45	states/eV per cell
density	9.38	g/cm³

=====

What is the density in the fourth record? 9.38 g/cm³